A plane-wave DFT calculation with PBE with a Hubbard U was carried out for a relaxed CsTmMn2F8 crystal.

## Properties
* total DFT energy (no corrections): -6.04 eV per atom
* ρ: 3702 kg/m³
* SG: P-3

Unit cell a=5.8050 b=5.8050 c=8.6644 alpha=90.00 beta=90.00 gamma=120.00
Positions (direct):
Cs1 0.0000 0.0000 0.0000
Tm1 0.0000 0.0000 0.5000
Mn1 0.6667 0.3333 0.2495
Mn2 0.3333 0.6667 0.7505
F1 0.3333 0.6667 0.9745
F2 0.3157 0.2562 0.3475
F3 0.7438 0.0595 0.3475
F4 0.6667 0.3333 0.0255
F5 0.2562 0.9405 0.6525
F6 0.6843 0.7438 0.6525
F7 0.0595 0.3157 0.6525
F8 0.9405 0.6843 0.3475